1.
# TmAlCu5

An optimized crystal structure of TmAlCu5 (PBE, Alexandria). Values from VASP.

```
&SYSTEM
  ibrav = 0, nat = 28, ntyp = 3
/
ATOMIC_SPECIES
Tm 168.93 Tm.upf
Al 26.98 Al.upf
Cu 63.55 Cu.upf
ATOMIC_POSITIONS crystal
Tm 0.250 0.245 0.941
Tm 0.750 0.255 0.441
Tm 0.250 0.745 0.559
Tm 0.750 0.755 0.059
Al 0.250 0.855 0.854
Al 0.750 0.645 0.354
Al 0.250 0.355 0.646
Al 0.750 0.145 0.146
Cu 0.250 0.595 0.016
Cu 0.750 0.905 0.516
Cu 0.250 0.095 0.484
Cu 0.750 0.405 0.984
Cu 0.750 0.317 0.747
Cu 0.250 0.183 0.247
Cu 0.750 0.817 0.753
Cu 0.250 0.683 0.253
Cu 0.250 0.940 0.088
Cu 0.750 0.560 0.588
Cu 0.250 0.440 0.412
Cu 0.750 0.060 0.912
Cu 0.993 0.434 0.194
Cu 0.007 0.066 0.694
Cu 0.507 0.934 0.306
Cu 0.493 0.566 0.806
Cu 0.007 0.566 0.806
Cu 0.993 0.934 0.306
Cu 0.493 0.066 0.694
Cu 0.507 0.434 0.194
CELL_PARAMETERS angstrom
4.980 0.000 0.000
0.000 8.041 0.000
0.000 0.000 10.166
```

Values from the calculation:
space-group type: No. 62
DOS at the Fermi energy: 3.9 states/eV/f.u.
E_form: -0.272 eV per atom



2.
# SmCd2Ga

An optimized crystal structure of SmCd2Ga (PBE, Alexandria). Values from VASP.

```
&SYSTEM
  ibrav = 0, nat = 4, ntyp = 3
/
ATOMIC_SPECIES
Ga 69.72 Ga.upf
Sm 150.36 Sm.upf
Cd 112.41 Cd.upf
ATOMIC_POSITIONS crystal
Ga 0.500 0.000 0.000
Sm 0.500 0.500 0.500
Cd 0.000 0.000 0.500
Cd 0.000 0.500 0.000
CELL_PARAMETERS angstrom
-0.397 -4.248 -2.362
3.031 -1.757 2.650
-3.160 -1.253 2.783
```

Values from the calculation:
energy above the lowest structure with this stoichiometry: 0.00 eV/f.u.
space-group type: No. 123
DOS at the Fermi energy: 2.8 states/eV/f.u.
E_form: -0.351 eV per atom



3.
# DyHf2Co3

An optimized crystal structure of DyHf2Co3 (PBE, Alexandria). Values from VASP.

```
&SYSTEM
  ibrav = 0, nat = 6, ntyp = 3
/
ATOMIC_SPECIES
Dy 162.50 Dy.upf
Hf 178.49 Hf.upf
Co 58.93 Co.upf
ATOMIC_POSITIONS crystal
Dy 0.500 0.500 0.500
Hf 0.500 0.500 0.839
Hf 0.500 0.500 0.161
Co 0.000 0.000 0.000
Co 0.000 0.000 0.697
Co 0.000 0.000 0.303
CELL_PARAMETERS angstrom
-2.963 -0.546 -1.003
0.653 -3.098 -0.242
-2.910 -1.344 9.331
```

Values from the calculation:
space-group type: No. 123
DOS at the Fermi energy: 4.8 states/eV/f.u.
E_form: -0.334 eV per atom



4.
# CsZn2GePb

An optimized crystal structure of CsZn2GePb (PBE, Alexandria). Values from VASP.

```
&SYSTEM
  ibrav = 0, nat = 5, ntyp = 4
/
ATOMIC_SPECIES
Pb 207.20 Pb.upf
Cs 132.91 Cs.upf
Ge 72.64 Ge.upf
Zn 65.41 Zn.upf
ATOMIC_POSITIONS crystal
Pb 0.000 0.000 0.000
Cs 0.500 0.500 0.500
Ge 0.000 0.500 0.000
Zn 0.000 0.000 0.500
Zn 0.500 0.000 0.000
CELL_PARAMETERS angstrom
-0.986 -3.309 -4.715
-3.050 -3.437 3.050
-4.768 3.153 -1.215
```

Values from the calculation:
space-group type: No. 123
DOS at the Fermi energy: 4.1 states/eV/f.u.
E_form: 0.410 eV per atom



5.
# NaHfTl

An optimized crystal structure of NaHfTl (PBE, Alexandria). Values from VASP.

```
&SYSTEM
  ibrav = 0, nat = 6, ntyp = 3
/
ATOMIC_SPECIES
Na 22.99 Na.upf
Tl 204.38 Tl.upf
Hf 178.49 Hf.upf
ATOMIC_POSITIONS crystal
Na 0.194 0.194 0.194
Na 0.462 0.462 0.462
Tl 0.740 0.740 0.740
Tl 0.584 0.584 0.584
Hf 0.971 0.971 0.971
Hf 0.352 0.352 0.352
CELL_PARAMETERS angstrom
1.930 0.000 16.114
-0.965 1.671 16.114
-0.965 -1.671 16.114
```

Values from the calculation:
energy above the lowest structure with this stoichiometry: 0.11 eV/f.u.
space-group type: No. 160
DOS at the Fermi energy: 1.6 states/eV/f.u.
E_form: 0.024 eV per atom



6.
# Ca12GaCu6

An optimized crystal structure of Ca12GaCu6 (PBE, Alexandria). Values from VASP.

```
&SYSTEM
  ibrav = 0, nat = 19, ntyp = 3
/
ATOMIC_SPECIES
Ca 40.08 Ca.upf
Ga 69.72 Ga.upf
Cu 63.55 Cu.upf
ATOMIC_POSITIONS crystal
Ca 0.295 0.113 0.817
Ca 0.295 0.478 0.183
Ca 0.705 0.522 0.817
Ca 0.705 0.887 0.183
Ca 0.113 0.817 0.295
Ca 0.478 0.183 0.295
Ca 0.522 0.817 0.705
Ca 0.887 0.183 0.705
Ca 0.817 0.295 0.113
Ca 0.183 0.295 0.478
Ca 0.817 0.705 0.522
Ca 0.183 0.705 0.887
Ga 0.000 0.000 0.000
Cu 0.382 0.500 0.882
Cu 0.618 0.500 0.118
Cu 0.500 0.882 0.382
Cu 0.500 0.118 0.618
Cu 0.882 0.382 0.500
Cu 0.118 0.618 0.500
CELL_PARAMETERS angstrom
-2.031 -5.186 6.899
6.486 -3.772 -4.725
2.708 7.913 2.946
```

Values from the calculation:
space-group type: No. 204
DOS at the Fermi energy: 13.6 states/eV/f.u.
E_form: -0.112 eV per atom



7.
# TiNbV2H

An optimized crystal structure of TiNbV2H (PBE, Alexandria). Values from VASP.

```
&SYSTEM
  ibrav = 0, nat = 5, ntyp = 4
/
ATOMIC_SPECIES
H 1.01 H.upf
Nb 92.91 Nb.upf
Ti 47.87 Ti.upf
V 50.94 V.upf
ATOMIC_POSITIONS crystal
H 0.000 0.000 0.000
Nb 0.500 0.500 0.500
Ti 0.000 0.000 0.500
V 0.000 0.500 0.000
V 0.500 0.000 0.000
CELL_PARAMETERS angstrom
4.273 0.000 0.000
0.000 4.273 0.000
0.000 0.000 3.537
```

Values from the calculation:
space-group type: No. 123
DOS at the Fermi energy: 7.5 states/eV/f.u.



8.
# Na2SmSiTe4

An optimized crystal structure of Na2SmSiTe4 (PBE, Alexandria). Values from VASP.

```
&SYSTEM
  ibrav = 0, nat = 16, ntyp = 4
/
ATOMIC_SPECIES
Na 22.99 Na.upf
Sm 150.36 Sm.upf
Si 28.09 Si.upf
Te 127.60 Te.upf
ATOMIC_POSITIONS crystal
Na 0.500 0.000 0.000
Na 0.500 0.000 0.500
Na 0.000 0.000 0.500
Na 0.500 0.500 0.000
Sm 0.000 0.500 0.000
Sm 0.000 0.500 0.500
Si 0.500 0.500 0.500
Si 0.000 0.000 0.000
Te 0.231 0.769 0.000
Te 0.731 0.269 0.500
Te 0.269 0.731 0.500
Te 0.769 0.231 0.000
Te 0.751 0.749 0.966
Te 0.751 0.749 0.534
Te 0.249 0.251 0.466
Te 0.249 0.251 0.034
CELL_PARAMETERS angstrom
-8.237 -3.033 -1.121
2.935 -5.291 -6.458
3.921 -0.020 8.217
```

Values from the calculation:
raw formation energy: -0.74 eV per atom
space-group type: No. 74
DOS at the Fermi energy: 2.5 states/eV/f.u.



9.
# Sn3PbI

An optimized crystal structure of Sn3PbI (PBE, Alexandria). Values from VASP.

```
&SYSTEM
  ibrav = 0, nat = 5, ntyp = 3
/
ATOMIC_SPECIES
Pb 207.20 Pb.upf
I 126.90 I.upf
Sn 118.71 Sn.upf
ATOMIC_POSITIONS crystal
Pb 0.500 0.500 0.500
I 0.000 0.000 0.000
Sn 0.000 0.500 0.000
Sn 0.000 0.000 0.500
Sn 0.500 0.000 0.000
CELL_PARAMETERS angstrom
5.855 0.000 0.000
0.000 5.855 0.000
0.000 0.000 5.855
```

Values from the calculation:
raw formation energy: 0.71 eV per atom
energy above the lowest structure with this stoichiometry: 0.55 eV/f.u.
space-group type: No. 221
DOS at the Fermi energy: 3.9 states/eV/f.u.



10.
# SrIr2Se

An optimized crystal structure of SrIr2Se (PBE, Alexandria). Values from VASP.

```
&SYSTEM
  ibrav = 0, nat = 4, ntyp = 3
/
ATOMIC_SPECIES
Ir 192.22 Ir.upf
Se 78.96 Se.upf
Sr 87.62 Sr.upf
ATOMIC_POSITIONS crystal
Ir 0.000 0.000 0.000
Ir 0.500 0.500 0.000
Se 0.500 0.000 0.500
Sr 0.000 0.500 0.500
CELL_PARAMETERS angstrom
-4.570 0.644 1.860
-0.535 -1.016 -4.842
-0.166 -3.131 0.675
```

Values from the calculation:
raw formation energy: 0.43 eV per atom
space-group type: No. 65
DOS at the Fermi energy: 3.6 states/eV/f.u.



11.
# KHg2PbAu

An optimized crystal structure of KHg2PbAu (PBE, Alexandria). Values from VASP.

```
&SYSTEM
  ibrav = 0, nat = 5, ntyp = 4
/
ATOMIC_SPECIES
Pb 207.20 Pb.upf
K 39.10 K.upf
Au 196.97 Au.upf
Hg 200.59 Hg.upf
ATOMIC_POSITIONS crystal
Pb 0.000 0.000 0.000
K 0.500 0.500 0.500
Au 0.000 0.000 0.500
Hg 0.000 0.500 0.000
Hg 0.500 0.000 0.000
CELL_PARAMETERS angstrom
-5.273 -0.779 2.662
-2.037 -2.794 -4.852
1.770 -4.892 2.074
```

Values from the calculation:
energy above the lowest structure with this stoichiometry: 0.95 eV/f.u.
space-group type: No. 123
DOS at the Fermi energy: 3.7 states/eV/f.u.
E_form: 0.011 eV per atom



12.
# K2BeSe

An optimized crystal structure of K2BeSe (PBE, Alexandria). Values from VASP.

```
&SYSTEM
  ibrav = 0, nat = 4, ntyp = 3
/
ATOMIC_SPECIES
Be 9.01 Be.upf
K 39.10 K.upf
Se 78.96 Se.upf
ATOMIC_POSITIONS crystal
Be 0.500 0.500 0.652
K 0.000 0.000 0.918
K 0.500 0.500 0.338
Se 0.000 0.000 0.592
CELL_PARAMETERS angstrom
3.557 0.000 0.000
0.000 3.557 0.000
0.000 0.000 9.899
```

Values from the calculation:
raw formation energy: 0.01 eV per atom
energy above the lowest structure with this stoichiometry: 1.30 eV/f.u.
space-group type: No. 99
DOS at the Fermi energy: 1.3 states/eV/f.u.



13.
# Tm2Bi2O7

An optimized crystal structure of Tm2Bi2O7 (PBE, Alexandria). Values from VASP.

```
&SYSTEM
  ibrav = 0, nat = 11, ntyp = 3
/
ATOMIC_SPECIES
Tm 168.93 Tm.upf
Bi 208.98 Bi.upf
O 16.00 O.upf
ATOMIC_POSITIONS crystal
Tm 0.041 0.729 0.263
Tm 0.041 0.263 0.729
Bi 0.532 0.268 0.268
Bi 0.512 0.761 0.761
O 0.768 0.009 0.397
O 0.768 0.397 0.009
O 0.285 0.480 0.480
O 0.247 0.048 0.048
O 0.791 0.518 0.518
O 0.258 0.972 0.554
O 0.258 0.554 0.972
CELL_PARAMETERS angstrom
-3.323 -2.219 3.526
-2.711 -1.946 -4.350
3.618 -4.112 0.251
```

Values from the calculation:
raw formation energy: -2.15 eV per atom
space-group type: No. 8



14.
# La2PmDy5Er

An optimized crystal structure of La2PmDy5Er (PBE, Alexandria). Values from VASP.

```
&SYSTEM
  ibrav = 0, nat = 18, ntyp = 4
/
ATOMIC_SPECIES
La 138.91 La.upf
Pm 145.00 Pm.upf
Dy 162.50 Dy.upf
Er 167.26 Er.upf
ATOMIC_POSITIONS crystal
La 0.118 0.382 0.000
La 0.618 0.118 0.000
La 0.382 0.882 0.000
La 0.882 0.618 0.000
Pm 0.250 0.250 0.500
Pm 0.750 0.750 0.500
Dy 0.925 0.425 0.283
Dy 0.642 0.142 0.717
Dy 0.075 0.575 0.717
Dy 0.142 0.075 0.717
Dy 0.575 0.642 0.717
Dy 0.858 0.925 0.283
Dy 0.425 0.358 0.283
Dy 0.358 0.858 0.283
Dy 0.500 0.500 0.000
Dy 0.000 0.000 0.000
Er 0.250 0.750 0.500
Er 0.750 0.250 0.500
CELL_PARAMETERS angstrom
8.670 0.000 0.000
0.000 8.670 0.000
-4.335 -4.335 7.928
```

Values from the calculation:
space-group type: No. 140
DOS at the Fermi energy: 12.5 states/eV/f.u.
E_form: 0.258 eV per atom



15.
# SrLaY2Cu

An optimized crystal structure of SrLaY2Cu (PBE, Alexandria). Values from VASP.

```
&SYSTEM
  ibrav = 0, nat = 5, ntyp = 4
/
ATOMIC_SPECIES
Y 88.91 Y.upf
Sr 87.62 Sr.upf
Cu 63.55 Cu.upf
La 138.91 La.upf
ATOMIC_POSITIONS crystal
Y 0.000 0.500 0.000
Y 0.500 0.000 0.000
Sr 0.500 0.500 0.500
Cu 0.000 0.000 0.000
La 0.000 0.000 0.500
CELL_PARAMETERS angstrom
-5.321 0.816 -1.671
-1.824 -3.282 4.205
-0.359 4.451 3.318
```

Values from the calculation:
space-group type: No. 123
DOS at the Fermi energy: 7.5 states/eV/f.u.
E_form: 0.101 eV per atom



16.
# AlTlBi2H

An optimized crystal structure of AlTlBi2H (PBE, Alexandria). Values from VASP.

```
&SYSTEM
  ibrav = 0, nat = 5, ntyp = 4
/
ATOMIC_SPECIES
H 1.01 H.upf
Tl 204.38 Tl.upf
Bi 208.98 Bi.upf
Al 26.98 Al.upf
ATOMIC_POSITIONS crystal
H 0.000 0.000 0.500
Tl 0.500 0.500 0.500
Bi 0.000 0.500 0.000
Bi 0.500 0.000 0.000
Al 0.000 0.000 0.000
CELL_PARAMETERS angstrom
-4.684 1.961 -3.050
-3.059 0.540 5.044
1.140 3.256 0.343
```

Values from the calculation:
space-group type: No. 123
DOS at the Fermi energy: 3.0 states/eV/f.u.



17.
# Tb3Ho5Cd2

An optimized crystal structure of Tb3Ho5Cd2 (PBE, Alexandria). Values from VASP.

```
&SYSTEM
  ibrav = 0, nat = 20, ntyp = 3
/
ATOMIC_SPECIES
Tb 158.93 Tb.upf
Ho 164.93 Ho.upf
Cd 112.41 Cd.upf
ATOMIC_POSITIONS crystal
Tb 0.250 0.000 0.000
Tb 0.750 0.000 0.000
Tb 0.360 0.361 0.920
Tb 0.640 0.639 0.080
Tb 0.860 0.920 0.361
Tb 0.140 0.080 0.639
Ho 0.250 0.500 0.500
Ho 0.750 0.500 0.500
Ho 0.511 0.739 0.739
Ho 0.989 0.261 0.261
Ho 0.489 0.261 0.261
Ho 0.011 0.739 0.739
Ho 0.098 0.574 0.229
Ho 0.902 0.426 0.771
Ho 0.598 0.229 0.574
Ho 0.402 0.771 0.426
Cd 0.133 0.732 0.001
Cd 0.867 0.268 0.999
Cd 0.633 0.001 0.732
Cd 0.367 0.999 0.268
CELL_PARAMETERS angstrom
-6.294 1.179 -1.631
-3.522 -7.952 -5.547
-6.056 -3.061 7.769
```

Values from the calculation:
space-group type: No. 72
DOS at the Fermi energy: 12.2 states/eV/f.u.
E_form: 0.169 eV per atom



18.
# LaSb

An optimized crystal structure of LaSb (PBE, Alexandria). Values from VASP.

```
&SYSTEM
  ibrav = 0, nat = 4, ntyp = 2
/
ATOMIC_SPECIES
La 138.91 La.upf
Sb 121.76 Sb.upf
ATOMIC_POSITIONS crystal
La 0.375 0.375 0.375
La 0.625 0.625 0.625
Sb 0.125 0.125 0.125
Sb 0.875 0.875 0.875
CELL_PARAMETERS angstrom
5.483 -0.293 -0.199
2.991 4.605 -0.199
2.991 1.522 4.351
```

Values from the calculation:
raw formation energy: -0.50 eV per atom
space-group type: No. 227
DOS at the Fermi energy: 1.2 states/eV/f.u.



19.
# Nb2AlZn2

An optimized crystal structure of Nb2AlZn2 (PBE, Alexandria). Values from VASP.

```
&SYSTEM
  ibrav = 0, nat = 5, ntyp = 3
/
ATOMIC_SPECIES
Nb 92.91 Nb.upf
Al 26.98 Al.upf
Zn 65.41 Zn.upf
ATOMIC_POSITIONS crystal
Nb 0.500 0.395 0.790
Nb 0.500 0.605 0.210
Al 0.000 0.000 0.000
Zn 0.000 0.799 0.599
Zn 0.000 0.201 0.401
CELL_PARAMETERS angstrom
2.926 0.000 0.000
0.000 4.274 -0.082
0.000 -2.014 6.510
```

Values from the calculation:
energy above the lowest structure with this stoichiometry: 0.00 eV/f.u.
space-group type: No. 65
DOS at the Fermi energy: 3.1 states/eV/f.u.
E_form: -0.176 eV per atom



20.
# MgH2WCl

An optimized crystal structure of MgH2WCl (PBE, Alexandria). Values from VASP.

```
&SYSTEM
  ibrav = 0, nat = 5, ntyp = 4
/
ATOMIC_SPECIES
H 1.01 H.upf
Mg 24.30 Mg.upf
W 183.84 W.upf
Cl 35.45 Cl.upf
ATOMIC_POSITIONS crystal
H 0.000 0.000 0.500
H 0.500 0.000 0.000
Mg 0.000 0.000 0.000
W 0.500 0.500 0.500
Cl 0.000 0.500 0.000
CELL_PARAMETERS angstrom
3.726 0.000 0.000
0.000 5.660 0.000
0.000 0.000 3.726
```

Values from the calculation:
space-group type: No. 123
DOS at the Fermi energy: 1.0 states/eV/f.u.



Here are the calculated raw total energy numbers, same order: -122.4, -11.0, -47.8, -9.7, -27.1, -53.8, -39.4, -62.5, -13.7, -21.2, -8.6, -9.4, -75.1, -79.7, -23.1, -16.6, -73.8, -20.1, -27.3, -18.5 (eV per cell).